## Zr2MoRh (PBE-GGA)

Data for a relaxed Zr2MoRh crystal.

abc: 3.324 3.326 6.644
angles: 90.00 90.00 90.00
Fractional positions:
Mo1 0.500 0.500 0.250
Rh1 0.500 0.500 0.750
Zr1 0.000 0.000 0.001
Zr2 0.000 0.000 0.499

Calculated values
Raw total energy   -37.05 eV for the cell shown
Space-group type   P4/mmm
Calculated formation energy   -0.44 eV/atom
Total moment   0.0 μB/cell

***

## ScTcPO2 (PBE-GGA)

Data for a relaxed ScTcPO2 crystal.

abc: 3.889 3.889 5.618
angles: 90.00 90.00 90.00
Fractional positions:
Sc1 0.000 0.000 0.000
P1 0.000 0.000 0.500
Tc1 0.500 0.500 0.500
O1 0.000 0.500 0.000
O2 0.500 0.000 0.000

Calculated values
Raw total energy   -35.01 eV for the cell shown
Space-group type   P4/mmm
Formation energy without anion corrections   -598 meV/atom
Energy above the most stable polymorph in this dataset   51.7 kJ per mole of atoms
Total moment   4.4 μB/cell

***

## LuScAlV (PBE-GGA)

Data for a relaxed LuScAlV crystal.

abc: 4.884 4.884 4.884
angles: 60.00 60.00 60.00
Fractional positions:
Sc1 0.000 0.000 0.000
Lu1 0.500 0.500 0.500
Al1 0.250 0.250 0.250
V1 0.750 0.750 0.750

Calculated values
Raw total energy   -24.06 eV for the cell shown
Space-group type   F-43m
Calculated formation energy   -0.09 eV/atom
Total moment   3.3 μB/cell

***

- The lowest total moment belongs to which entry?
  Zr2MoRh

***

- Which formula does entry 2 have?
  ScTcPO2

***

- Which of these has the lowest raw total energy?
  Zr2MoRh

***

- The lowest total moment belongs to which entry?
  Zr2MoRh